1.
## Tb3Al3Au8 (PBE)

Data for a geometry-optimized Tb3Al3Au8 structure.

Summary:
Spin magnetization (μB/f.u.): 0.00
Calculated total energy (eV/cell): -61.30
Space-group type: C2/m

a = 8.3837 Å, b = 8.3837 Å, c = 8.9679 Å
α = 121.19°, β = 121.19°, γ = 31.92°
With the nearest neighbours (Å) after each atom.
Fractional positions:
Tb (0.0000, 0.0000, 0.0000)  8 Au 3.13-3.26
Tb (0.2923, 0.2923, 0.2722)  10 Au 3.03-3.38, 3 Al 3.27-3.28
Tb (0.7077, 0.7077, 0.7278)  10 Au 3.03-3.38, 3 Al 3.27-3.28
Al (0.0000, 0.0000, 0.5000)  8 Au 2.61-2.75
Al (0.3330, 0.3330, 0.6714)  5 Au 2.47-2.64
Al (0.6670, 0.6670, 0.3286)  5 Au 2.47-2.64
Au (0.1311, 0.1311, 0.8396)  1 Al 2.61, 2 Au 2.82
Au (0.1423, 0.1423, 0.4310)  4 Al 2.59-2.68
Au (0.3514, 0.3514, 0.9635)  1 Al 2.47
Au (0.4927, 0.4927, 0.6597)  3 Al 2.63-2.75, 1 Au 2.93
Au (0.5073, 0.5073, 0.3403)  3 Al 2.63-2.75, 1 Au 2.93
Au (0.6486, 0.6486, 0.0365)  1 Al 2.47
Au (0.8577, 0.8577, 0.5690)  4 Al 2.59-2.68
Au (0.8689, 0.8689, 0.1604)  1 Al 2.61, 2 Au 2.82


2.
## TbAl2Au5 (PBE)

Data for a geometry-optimized TbAl2Au5 structure.

Summary:
Spin magnetization (μB/f.u.): 0.00
Calculated total energy (eV/cell): -32.44
Space-group type: Immm

a = 6.9377 Å, b = 6.9377 Å, c = 6.9377 Å
α = 148.29°, β = 114.98°, γ = 74.15°
With the nearest neighbours (Å) after each atom.
Fractional positions:
Tb (0.0000, 0.0000, 0.0000)  8 Au 3.17, 4 Al 3.47
Al (0.2620, 0.7620, 0.5000)  7 Au 2.50-2.77
Al (0.7380, 0.2380, 0.5000)  7 Au 2.50-2.77
Au (0.1424, 0.3660, 0.7764)  3 Al 2.50-2.77
Au (0.4104, 0.6340, 0.7764)  3 Al 2.50-2.77
Au (0.5000, 0.0000, 0.5000)  2 Al 2.63, 8 Au 2.93
Au (0.5896, 0.3660, 0.2236)  3 Al 2.50-2.77
Au (0.8576, 0.6340, 0.2236)  3 Al 2.50-2.77


What did the second record say?
## TbAl2Au5 (PBE)

Data for a geometry-optimized TbAl2Au5 structure.

Summary:
Spin magnetization (μB/f.u.): 0.00
Calculated total energy (eV/cell): -32.44
Space-group type: Immm

a = 6.9377 Å, b = 6.9377 Å, c = 6.9377 Å
α = 148.29°, β = 114.98°, γ = 74.15°
With the nearest neighbours (Å) after each atom.
Fractional positions:
Tb (0.0000, 0.0000, 0.0000)  8 Au 3.17, 4 Al 3.47
Al (0.2620, 0.7620, 0.5000)  7 Au 2.50-2.77
Al (0.7380, 0.2380, 0.5000)  7 Au 2.50-2.77
Au (0.1424, 0.3660, 0.7764)  3 Al 2.50-2.77
Au (0.4104, 0.6340, 0.7764)  3 Al 2.50-2.77
Au (0.5000, 0.0000, 0.5000)  2 Al 2.63, 8 Au 2.93
Au (0.5896, 0.3660, 0.2236)  3 Al 2.50-2.77
Au (0.8576, 0.6340, 0.2236)  3 Al 2.50-2.77


> Look up the calculated total energy of the second one.

-32.44 eV/cell


> Which formula does entry 1 have?

Tb3Al3Au8


> What is the spin magnetization in the second record?

0.00 μB/f.u.